The following is a DFT calculation (GGA-PBE) of a relaxed structure of Pm8Sn3H2.

Structure (POSCAR):
```
Pm8Sn3H2
1.0
3.360 1.940 9.151
-3.360 1.940 9.151
0.000 -3.880 9.151
Pm Sn H
8 3 2
Direct
0.183 0.183 0.183 Pm
0.231 0.231 0.725 Pm
0.231 0.725 0.231 Pm
0.275 0.769 0.769 Pm
0.725 0.231 0.231 Pm
0.769 0.275 0.769 Pm
0.769 0.769 0.275 Pm
0.817 0.817 0.817 Pm
0.298 0.298 0.298 Sn
0.500 0.500 0.500 Sn
0.702 0.702 0.702 Sn
0.103 0.103 0.103 H
0.897 0.897 0.897 H
```

Output
* total magnetic moment: 2.412 Bohr magnetons per cell
* VASP energy: -4.79 eV per atom